[1]
This record from Alexandria via LeMat-Bulk describes crystalline Ca3ErF8 at its relaxed geometry. The functional is GGA-PBE.

Values from the calculation:
Magnetic moment in Bohr magnetons per cell: 0.75
Final energy in eV for the cell shown: -70.68
Energy relative to the elements, uncorrected in eV/f.u.: -45.147

Structure (CIF):
```
data_Ca3ErF8
_chemical_formula_sum 'Ca3 Er1 F8'
_cell_length_a 5.574
_cell_length_b 5.574
_cell_length_c 5.574
_cell_angle_alpha 90.00
_cell_angle_beta 90.00
_cell_angle_gamma 90.00
_symmetry_space_group_name_H-M 'P m -3 m'
_symmetry_Int_Tables_number 221
_symmetry_space_group_name_Hall '-P 4 2 3'
loop_
_atom_site_label
_atom_site_type_symbol
_atom_site_fract_x
_atom_site_fract_y
_atom_site_fract_z
Ca1 Ca 0.000 0.000 0.500
Er1 Er 0.500 0.500 0.500
F1 F 0.265 0.265 0.265
```

=====

[2]
This record from Alexandria via LeMat-Bulk describes crystalline CaErF5 at its relaxed geometry. The functional is GGA-PBE.

Values from the calculation:
Magnetic moment in Bohr magnetons per cell: 0.00
Final energy in eV for the cell shown: -174.70
Energy relative to the elements, uncorrected in eV/f.u.: -27.754

Structure (CIF):
```
data_CaErF5
_chemical_formula_sum 'Ca4 Er4 F20'
_cell_length_a 7.255
_cell_length_b 6.761
_cell_length_c 7.569
_cell_angle_alpha 90.00
_cell_angle_beta 92.70
_cell_angle_gamma 90.00
_symmetry_space_group_name_H-M 'C 1 2/c 1'
_symmetry_Int_Tables_number 15
_symmetry_space_group_name_Hall '-C 2yc'
loop_
_atom_site_label
_atom_site_type_symbol
_atom_site_fract_x
_atom_site_fract_y
_atom_site_fract_z
Ca1 Ca 0.000 0.000 0.000
Er1 Er 0.000 0.484 0.250
F1 F 0.000 0.186 0.750
F2 F 0.153 0.217 0.179
F3 F 0.165 0.433 0.504
```

=====

[3]
This record from Alexandria via LeMat-Bulk describes crystalline CaErF6 at its relaxed geometry. The functional is GGA-PBE.

Values from the calculation:
Magnetic moment in Bohr magnetons per cell: 2.10
Final energy in eV for the cell shown: -90.95
Energy relative to the elements, uncorrected in eV/f.u.: -27.684

Structure (CIF):
```
data_CaErF6
_chemical_formula_sum 'Ca2 Er2 F12'
_cell_length_a 5.420
_cell_length_b 5.420
_cell_length_c 7.889
_cell_angle_alpha 90.00
_cell_angle_beta 90.00
_cell_angle_gamma 90.00
_symmetry_space_group_name_H-M 'P 42/m'
_symmetry_Int_Tables_number 84
_symmetry_space_group_name_Hall '-P 4c'
loop_
_atom_site_label
_atom_site_type_symbol
_atom_site_fract_x
_atom_site_fract_y
_atom_site_fract_z
Ca1 Ca 0.000 0.000 0.000
Er1 Er 0.500 0.500 0.250
F1 F 0.212 0.242 0.177
F2 F 0.320 0.334 0.500
```